No. 1
A plane-wave DFT calculation with PBE was carried out for a relaxed La3Cd3AgPd2 crystal.

Cell lengths 7.863, 7.863, 4.126 Å; angles 90.00, 90.00, 120.00 degrees
Fractional coordinates of all 9 atoms:
La 0.000 0.585 0.000
La 0.415 0.415 0.000
La 0.585 0.000 0.000
Cd 0.000 0.253 0.500
Cd 0.253 0.000 0.500
Cd 0.747 0.747 0.500
Ag 0.000 0.000 0.000
Pd 0.333 0.667 0.500
Pd 0.667 0.333 0.500

Values from the calculation:
E: -4.02 eV/atom

No. 2
A plane-wave DFT calculation with PBE was carried out for a relaxed Zr4Ta2Sn3N3 crystal.

Cell lengths 5.728, 5.728, 14.559 Å; angles 101.39, 101.39, 60.00 degrees
Fractional coordinates of all 24 atoms:
Zr 0.031 0.194 0.087
Zr 0.135 0.304 0.413
Zr 0.194 0.031 0.587
Zr 0.304 0.135 0.913
Zr 0.696 0.865 0.087
Zr 0.806 0.969 0.413
Zr 0.865 0.696 0.587
Zr 0.969 0.806 0.913
Ta 0.357 0.526 0.078
Ta 0.474 0.643 0.422
Ta 0.526 0.357 0.578
Ta 0.643 0.474 0.922
Sn 0.100 0.900 0.250
Sn 0.268 0.416 0.751
Sn 0.416 0.268 0.251
Sn 0.584 0.732 0.749
Sn 0.732 0.584 0.249
Sn 0.900 0.100 0.750
N 0.000 0.500 0.000
N 0.175 0.663 0.500
N 0.337 0.825 0.000
N 0.500 0.000 0.500
N 0.663 0.175 0.000
N 0.825 0.337 0.500

Values from the calculation:
E: -8.78 eV/atom

No. 3
A plane-wave DFT calculation with PBE was carried out for a relaxed KHoPa crystal.

Cell lengths 7.976, 7.976, 7.976 Å; angles 90.00, 90.00, 90.00 degrees
Fractional coordinates of all 12 atoms:
K 0.000 0.000 0.000
K 0.000 0.500 0.500
K 0.500 0.000 0.500
K 0.500 0.500 0.000
Ho 0.000 0.000 0.500
Ho 0.000 0.500 0.000
Ho 0.500 0.000 0.000
Ho 0.500 0.500 0.500
Pa 0.250 0.250 0.750
Pa 0.250 0.750 0.250
Pa 0.750 0.250 0.250
Pa 0.750 0.750 0.750

Values from the calculation:
E: -3.21 eV/atom

No. 4
A plane-wave DFT calculation with PBE was carried out for a relaxed NbTlFeMo crystal.

Cell lengths 6.459, 6.459, 6.459 Å; angles 90.00, 90.00, 90.00 degrees
Fractional coordinates of all 16 atoms:
Nb 0.000 0.000 0.000
Nb 0.000 0.500 0.500
Nb 0.500 0.000 0.500
Nb 0.500 0.500 0.000
Tl 0.000 0.000 0.500
Tl 0.000 0.500 0.000
Tl 0.500 0.000 0.000
Tl 0.500 0.500 0.500
Fe 0.250 0.250 0.750
Fe 0.250 0.750 0.250
Fe 0.750 0.250 0.250
Fe 0.750 0.750 0.750
Mo 0.250 0.250 0.250
Mo 0.250 0.750 0.750
Mo 0.750 0.250 0.750
Mo 0.750 0.750 0.250

Values from the calculation:
E: -7.39 eV/atom

No. 5
A plane-wave DFT calculation with PBE was carried out for a relaxed HfZnPd crystal.

Cell lengths 6.182, 6.182, 6.182 Å; angles 90.00, 90.00, 90.00 degrees
Fractional coordinates of all 12 atoms:
Hf 0.000 0.000 0.000
Hf 0.000 0.500 0.500
Hf 0.500 0.000 0.500
Hf 0.500 0.500 0.000
Zn 0.000 0.000 0.500
Zn 0.000 0.500 0.000
Zn 0.500 0.000 0.000
Zn 0.500 0.500 0.500
Pd 0.250 0.250 0.250
Pd 0.250 0.750 0.750
Pd 0.750 0.250 0.750
Pd 0.750 0.750 0.250

Values from the calculation:
E: -5.76 eV/atom

No. 6
A plane-wave DFT calculation with PBE was carried out for a relaxed Rb2FePtBr6 crystal.

Cell lengths 7.466, 7.466, 7.466 Å; angles 60.00, 60.00, 60.00 degrees
Fractional coordinates of all 10 atoms:
Rb 0.250 0.250 0.250
Rb 0.750 0.750 0.750
Fe 0.000 0.000 0.000
Pt 0.500 0.500 0.500
Br 0.248 0.248 0.752
Br 0.248 0.752 0.248
Br 0.248 0.752 0.752
Br 0.752 0.248 0.248
Br 0.752 0.248 0.752
Br 0.752 0.752 0.248

Values from the calculation:
E: -3.44 eV/atom

No. 7
A plane-wave DFT calculation with PBE was carried out for a relaxed Gd2Al2O5 crystal.

Cell lengths 3.786, 3.786, 9.065 Å; angles 90.00, 90.00, 90.00 degrees
Fractional coordinates of all 9 atoms:
Gd 0.000 0.000 0.244
Gd 0.000 0.000 0.756
Al 0.500 0.500 0.000
Al 0.500 0.500 0.500
O 0.000 0.000 0.500
O 0.000 0.500 0.131
O 0.000 0.500 0.869
O 0.500 0.000 0.131
O 0.500 0.000 0.869

Values from the calculation:
E: -6.80 eV/atom

No. 8
A plane-wave DFT calculation with PBE was carried out for a relaxed Dy3Tm3FeTe2 crystal.

Cell lengths 8.236, 8.236, 3.974 Å; angles 90.00, 90.00, 120.00 degrees
Fractional coordinates of all 9 atoms:
Dy 0.000 0.604 0.000
Dy 0.396 0.396 0.000
Dy 0.604 0.000 0.000
Tm 0.000 0.233 0.500
Tm 0.233 0.000 0.500
Tm 0.767 0.767 0.500
Fe 0.000 0.000 0.000
Te 0.333 0.667 0.500
Te 0.667 0.333 0.500

Values from the calculation:
E: -5.28 eV/atom

No. 9
A plane-wave DFT calculation with PBE was carried out for a relaxed LiAg3OsO4 crystal.

Cell lengths 5.594, 5.594, 5.594 Å; angles 90.00, 90.00, 90.00 degrees
Fractional coordinates of all 9 atoms:
Li 0.000 0.000 0.000
Ag 0.000 0.500 0.500
Ag 0.500 0.000 0.500
Ag 0.500 0.500 0.000
Os 0.500 0.500 0.500
O 0.297 0.297 0.297
O 0.297 0.703 0.703
O 0.703 0.297 0.703
O 0.703 0.703 0.297

Values from the calculation:
E: -4.61 eV/atom

No. 10
A plane-wave DFT calculation with PBE was carried out for a relaxed TbGd2Al3AgPt2 crystal.

Cell lengths 3.951, 7.368, 7.368 Å; angles 119.96, 90.00, 90.00 degrees
Fractional coordinates of all 9 atoms:
Tb 0.000 0.000 0.000
Gd 0.000 0.417 0.833
Gd 0.000 0.833 0.417
Al 0.500 0.160 0.416
Al 0.500 0.416 0.160
Al 0.500 0.673 0.673
Ag 0.000 0.416 0.416
Pt 0.500 0.083 0.751
Pt 0.500 0.751 0.083

Values from the calculation:
E: -5.32 eV/atom

No. 11
A plane-wave DFT calculation with PBE was carried out for a relaxed LiLuNiS3 crystal.

Cell lengths 12.526, 3.707, 10.399 Å; angles 90.00, 90.00, 90.00 degrees
Fractional coordinates of all 24 atoms:
Li 0.249 0.250 0.129
Li 0.251 0.750 0.629
Li 0.749 0.250 0.371
Li 0.751 0.750 0.871
Lu 0.021 0.250 0.342
Lu 0.479 0.750 0.842
Lu 0.521 0.250 0.158
Lu 0.979 0.750 0.658
Ni 0.012 0.750 0.087
Ni 0.488 0.250 0.587
Ni 0.512 0.750 0.413
Ni 0.988 0.250 0.913
S 0.086 0.750 0.892
S 0.115 0.250 0.570
S 0.143 0.750 0.240
S 0.357 0.250 0.740
S 0.385 0.750 0.070
S 0.414 0.250 0.392
S 0.586 0.750 0.608
S 0.615 0.250 0.930
S 0.643 0.750 0.260
S 0.857 0.250 0.760
S 0.885 0.750 0.430
S 0.914 0.250 0.108

Values from the calculation:
E: -5.31 eV/atom

No. 12
A plane-wave DFT calculation with PBE was carried out for a relaxed YGaCoHg crystal.

Cell lengths 6.736, 6.736, 6.736 Å; angles 90.00, 90.00, 90.00 degrees
Fractional coordinates of all 16 atoms:
Y 0.000 0.000 0.000
Y 0.000 0.500 0.500
Y 0.500 0.000 0.500
Y 0.500 0.500 0.000
Ga 0.000 0.000 0.500
Ga 0.000 0.500 0.000
Ga 0.500 0.000 0.000
Ga 0.500 0.500 0.500
Co 0.250 0.250 0.750
Co 0.250 0.750 0.250
Co 0.750 0.250 0.250
Co 0.750 0.750 0.750
Hg 0.250 0.250 0.250
Hg 0.250 0.750 0.750
Hg 0.750 0.250 0.750
Hg 0.750 0.750 0.250

Values from the calculation:
E: -4.28 eV/atom

No. 13
A plane-wave DFT calculation with PBE was carried out for a relaxed La2SmSi4Au4 crystal.

Cell lengths 13.010, 13.010, 13.010 Å; angles 160.94, 160.88, 27.12 degrees
Fractional coordinates of all 11 atoms:
La 0.148 0.148 0.000
La 0.852 0.852 0.000
Sm 0.500 0.000 0.500
Si 0.047 0.547 0.500
Si 0.308 0.308 0.000
Si 0.692 0.692 0.000
Si 0.953 0.453 0.500
Au 0.250 0.750 0.500
Au 0.406 0.406 0.000
Au 0.594 0.594 0.000
Au 0.750 0.250 0.500

Values from the calculation:
E: -5.25 eV/atom

No. 14
A plane-wave DFT calculation with PBE was carried out for a relaxed Ho2Er2InCo2Ge4 crystal.

Cell lengths 7.957, 7.957, 6.987 Å; angles 106.97, 106.97, 30.58 degrees
Fractional coordinates of all 11 atoms:
Ho 0.154 0.154 0.440
Ho 0.846 0.846 0.560
Er 0.090 0.090 0.890
Er 0.910 0.910 0.110
In 0.500 0.500 0.500
Co 0.280 0.280 0.876
Co 0.720 0.720 0.124
Ge 0.294 0.294 0.232
Ge 0.432 0.432 0.840
Ge 0.568 0.568 0.160
Ge 0.706 0.706 0.768

Values from the calculation:
E: -5.60 eV/atom

No. 15
A plane-wave DFT calculation with PBE was carried out for a relaxed NdTcAsO crystal.

Cell lengths 4.268, 4.302, 7.411 Å; angles 90.00, 90.00, 90.00 degrees
Fractional coordinates of all 8 atoms:
Nd 0.000 0.245 0.000
Nd 0.000 0.755 0.500
Tc 0.500 0.260 0.334
Tc 0.500 0.740 0.834
As 0.500 0.242 0.667
As 0.500 0.758 0.167
O 0.000 0.258 0.334
O 0.000 0.742 0.834

Values from the calculation:
E: -7.50 eV/atom

No. 16
A plane-wave DFT calculation with PBE was carried out for a relaxed YPAuO crystal.

Cell lengths 5.714, 5.714, 4.591 Å; angles 90.00, 90.00, 90.00 degrees
Fractional coordinates of all 8 atoms:
Y 0.250 0.750 0.000
Y 0.750 0.250 0.000
P 0.250 0.250 0.001
P 0.750 0.750 0.999
Au 0.250 0.250 0.501
Au 0.750 0.750 0.499
O 0.250 0.750 0.500
O 0.750 0.250 0.500

Values from the calculation:
E: -6.06 eV/atom

No. 17
A plane-wave DFT calculation with PBE was carried out for a relaxed SrZrAl2Cu4 crystal.

Cell lengths 4.284, 4.284, 8.837 Å; angles 90.00, 90.00, 120.00 degrees
Fractional coordinates of all 8 atoms:
Sr 0.000 0.000 0.000
Zr 0.667 0.333 0.500
Al 0.333 0.667 0.303
Al 0.333 0.667 0.697
Cu 0.000 0.000 0.348
Cu 0.000 0.000 0.652
Cu 0.667 0.333 0.203
Cu 0.667 0.333 0.797

Values from the calculation:
E: -4.31 eV/atom

No. 18
A plane-wave DFT calculation with PBE was carried out for a relaxed LaMgHg6 crystal.

Cell lengths 6.673, 6.673, 5.057 Å; angles 90.00, 90.00, 120.00 degrees
Fractional coordinates of all 8 atoms:
La 0.000 0.000 0.000
Mg 0.667 0.333 0.500
Hg 0.173 0.346 0.500
Hg 0.173 0.827 0.500
Hg 0.505 0.011 0.000
Hg 0.505 0.495 0.000
Hg 0.654 0.827 0.500
Hg 0.989 0.495 0.000

Values from the calculation:
E: -1.26 eV/atom

No. 19
A plane-wave DFT calculation with PBE was carried out for a relaxed LuTaCo2Bi2 crystal.

Cell lengths 4.393, 8.782, 6.220 Å; angles 90.00, 90.00, 90.00 degrees
Fractional coordinates of all 12 atoms:
Lu 0.000 0.125 0.000
Lu 0.500 0.875 0.500
Ta 0.000 0.623 0.021
Ta 0.500 0.377 0.521
Co 0.000 0.389 0.277
Co 0.000 0.853 0.239
Co 0.500 0.147 0.739
Co 0.500 0.611 0.777
Bi 0.000 0.127 0.498
Bi 0.000 0.625 0.526
Bi 0.500 0.375 0.026
Bi 0.500 0.873 0.998

Values from the calculation:
E: -6.69 eV/atom

No. 20
A plane-wave DFT calculation with PBE was carried out for a relaxed CsNpTlS3 crystal.

Cell lengths 8.979, 8.979, 11.482 Å; angles 90.00, 90.00, 153.77 degrees
Fractional coordinates of all 12 atoms:
Cs 0.189 0.811 0.750
Cs 0.811 0.189 0.250
Np 0.500 0.500 0.000
Np 0.500 0.500 0.500
Tl 0.118 0.882 0.250
Tl 0.882 0.118 0.750
S 0.098 0.902 0.506
S 0.098 0.902 0.994
S 0.499 0.501 0.750
S 0.501 0.499 0.250
S 0.902 0.098 0.006
S 0.902 0.098 0.494

Values from the calculation:
E: -5.77 eV/atom